Sm2GeAu3 after structural relaxation. Source: Alexandria, functional PBE-GGA.

a b c (Å): 3.588 4.584 8.202
angles (deg): 90.00 90.00 90.00
Positions (direct):
Sm1 0.000 0.500 0.993
Sm2 0.000 0.000 0.507
Au1 0.500 0.000 0.178
Au2 0.500 0.500 0.652
Au3 0.500 0.000 0.840
Ge1 0.500 0.500 0.330

Properties
The density of states at the Fermi level is 0.296 states/eV per atom. The calculation puts the uncorrected energy at -4.767 eV per atom. The calculation puts the theoretical density at 11868 kg/m³.